#A
YPuSi2 | Alexandria via LeMat-Bulk | GGA-PBE | optimized geometry; magnetic moment = 5.5 μB/f.u.; DOS at the Fermi energy = 8.0 states/eV/cell; density = 7.49 Mg/m³; symmetry = No. 166
1.0
2.3971 1.3840 4.3348
-2.3971 1.3840 4.3348
0.0000 -2.7680 4.3348
Y Pu Si
1 1 2
Direct
0.0000 0.0000 0.0000
0.5000 0.5000 0.5000
0.2471 0.2471 0.2471
0.7529 0.7529 0.7529

#B
YPuSi2 | Alexandria via LeMat-Bulk | GGA-PBE | optimized geometry; magnetic moment = 6.1 μB/f.u.; DOS at the Fermi energy = 9.7 states/eV/cell; density = 7.38 Mg/m³; symmetry = No. 38
1.0
3.8083 0.0000 0.0000
0.0000 2.1476 5.3539
0.0000 -2.1476 5.3539
Y Pu Si
1 1 2
Direct
0.0000 0.0000 0.0000
0.5000 0.2870 0.2870
0.0000 0.7153 0.7153
0.5000 0.5706 0.5706

What should be chosen as the most stable of them? Choose #B.

#A
PuZn2Si2 | Alexandria via LeMat-Bulk | GGA-PBE | optimized geometry; magnetic moment = 6.2 μB/f.u.; DOS at the Fermi energy = 10.3 states/eV/cell; density = 5.89 Mg/m³; symmetry = No. 139
1.0
-1.7928 1.7928 9.4490
1.7928 -1.7928 9.4490
1.7928 1.7928 -9.4490
Pu Zn Si
1 2 2
Direct
0.0000 0.0000 0.0000
0.2500 0.7500 0.5000
0.7500 0.2500 0.5000
0.1535 0.1535 0.0000
0.8465 0.8465 0.0000

#B
PuZn2Si2 | Alexandria via LeMat-Bulk | GGA-PBE | optimized geometry; magnetic moment = 5.6 μB/f.u.; DOS at the Fermi energy = 10.6 states/eV/cell; density = 8.24 Mg/m³; symmetry = No. 12
1.0
2.8374 -2.8356 0.0000
2.8374 2.8356 0.0000
-2.8240 0.0000 5.3996
Pu Zn Si
1 2 2
Direct
0.0000 0.0000 0.0000
0.2498 0.7502 0.5000
0.7502 0.2498 0.5000
0.3911 0.3911 0.7824
0.6089 0.6089 0.2176

What should be chosen as the most stable of them? Choose #B.

#A
PuZrSi | Alexandria via LeMat-Bulk | GGA-PBE | optimized geometry; magnetic moment = 5.7 μB/f.u.; DOS at the Fermi energy = 6.3 states/eV/cell; density = 9.06 Mg/m³; symmetry = No. 187
1.0
4.6601 0.0000 0.0000
-2.3301 4.0358 0.0000
0.0000 0.0000 3.5399
Pu Zr Si
1 1 1
Direct
0.0000 0.0000 0.0000
0.6667 0.3333 0.5000
0.3333 0.6667 0.5000

#B
PuZrSi | Alexandria via LeMat-Bulk | GGA-PBE | optimized geometry; magnetic moment = 5.6 μB/f.u.; DOS at the Fermi energy = 23.2 states/eV/cell; density = 9.25 Mg/m³; symmetry = No. 64
1.0
2.7495 -6.0848 0.0000
2.7495 6.0848 0.0000
0.0000 0.0000 7.7993
Pu Zr Si
4 4 4
Direct
0.1917 0.3083 0.2500
0.3083 0.1917 0.7500
0.6917 0.8083 0.2500
0.8083 0.6917 0.7500
0.1836 0.8164 0.4007
0.3164 0.6836 0.9007
0.6836 0.3164 0.0993
0.8164 0.1836 0.5993
0.1230 0.8770 0.0670
0.3770 0.6230 0.5670
0.6230 0.3770 0.4330
0.8770 0.1230 0.9330

What should be chosen as the most stable of them? Choose #B.